Compound: HgSb2ICl
Source: Alexandria via LeMat-Bulk
Functional: PBEsol
Structure: optimized geometry

abc: 5.510 5.510 5.677
angles: 90.00 90.00 90.00
Sites, in units of the cell vectors:
Hg (0.000, 0.000, 0.000)
Sb (0.000, 0.500, 0.000)
Sb (0.500, 0.000, 0.000)
I (0.000, 0.000, 0.500)
Cl (0.500, 0.500, 0.500)

Properties
The space group is No. 123. The volume comes out at 34.5 A^3/atom. The energy relative to the elements, uncorrected is 56 kJ per mole of atoms.

Compound: HgTe2ICl
Source: Alexandria via LeMat-Bulk
Functional: PBEsol
Structure: optimized geometry

abc: 5.547 5.547 5.605
angles: 90.00 90.00 90.00
Sites, in units of the cell vectors:
Hg (0.000, 0.000, 0.000)
Te (0.000, 0.500, 0.000)
Te (0.500, 0.000, 0.000)
I (0.000, 0.000, 0.500)
Cl (0.500, 0.500, 0.500)

Properties
The space group is No. 123. The volume comes out at 34.5 A^3/atom. The energy relative to the elements, uncorrected is 52 kJ per mole of atoms.

Compound: InHgCl
Source: Alexandria via LeMat-Bulk
Functional: PBEsol
Structure: optimized geometry

abc: 5.025 5.025 5.025
angles: 60.00 60.00 60.00
Sites, in units of the cell vectors:
In (0.000, 0.000, 0.000)
Hg (0.250, 0.250, 0.250)
Cl (0.750, 0.750, 0.750)

Properties
The space group is No. 216. The volume comes out at 29.9 A^3/atom. The energy relative to the elements, uncorrected is -38 kJ per mole of atoms. For the relative energy among the computed polymorphs, the calculation gives 6.1 kJ/mol of formula units.